{"formula": "OsWSe2", "functional": "PBE", "state": "optimized geometry", "spacegroup": "Fmmm (69)", "formation_energy_uncorrected_kj_per_mol_fu": 301, "volume_a3_per_atom": 17.34, "relative_energy_mev_per_atom": 675.2, "lattice": [[0.0000, 3.0561, 4.3459], [2.6116, 0.0000, 4.3459], [2.6116, 3.0561, 0.0000]], "species": ["Os", "W", "Se", "Se"], "frac_coords": [[0.0000, 0.0000, 0.0000], [0.5000, 0.5000, 0.5000], [0.0000, 0.5000, 0.5000], [0.5000, 0.0000, 0.0000]]}